Entry 1:
Crystalline Dy5YCd at its relaxed geometry, computed with PBE.

a b c (Å): 8.9944 8.9944 5.8132
angles (deg): 107.22 107.22 82.20
With the nearest neighbours (Å) after each atom.
Positions (direct):
Dy 0.0622 0.6675 0.1273  5 Dy 3.13-3.49, 2 Cd 3.22-3.23, 1 Y 3.34
Dy 0.1632 0.3666 0.4970  8 Dy 3.42-3.79, 1 Y 3.50, 2 Cd 3.79-3.81
Dy 0.2501 0.7499 0.7500  2 Cd 3.30, 6 Dy 3.41-3.42, 3 Y 3.65-3.68
Dy 0.3325 0.9378 0.3727  5 Dy 3.13-3.49, 2 Cd 3.22-3.23, 1 Y 3.34
Dy 0.3666 0.1632 0.9970  8 Dy 3.42-3.79, 1 Y 3.50, 2 Cd 3.79-3.81
Dy 0.6334 0.8368 0.0030  8 Dy 3.42-3.79, 1 Y 3.50, 2 Cd 3.79-3.81
Dy 0.6675 0.0622 0.6273  5 Dy 3.13-3.49, 2 Cd 3.22-3.23, 1 Y 3.34
Dy 0.7499 0.2501 0.2500  2 Cd 3.30, 6 Dy 3.41-3.42, 3 Y 3.65-3.68
Dy 0.8368 0.6334 0.5030  8 Dy 3.42-3.79, 1 Y 3.50, 2 Cd 3.79-3.81
Dy 0.9378 0.3325 0.8727  5 Dy 3.13-3.49, 2 Cd 3.22-3.23, 1 Y 3.34
Y 0.4413 0.5587 0.2500  2 Y 3.22, 4 Dy 3.34-3.50
Y 0.5587 0.4413 0.7500  2 Y 3.22, 4 Dy 3.34-3.50
Cd 0.0000 0.0000 0.0000  2 Cd 2.91, 4 Dy 3.22-3.23
Cd 0.0000 0.0000 0.5000  2 Cd 2.91, 4 Dy 3.22-3.23

total moment	0.000	μB per atom

***

Entry 2:
Crystalline DyY2Cd3 at its relaxed geometry, computed with PBE.

a b c (Å): 3.7494 3.7494 11.2390
angles (deg): 90.00 90.00 90.00
With the nearest neighbours (Å) after each atom.
Positions (direct):
Dy 0.0000 0.0000 0.0000  8 Cd 3.24
Y 0.0000 0.0000 0.3329  8 Cd 3.25
Y 0.0000 0.0000 0.6671  8 Cd 3.25
Cd 0.5000 0.5000 0.1658  4 Dy 3.24, 4 Y 3.25
Cd 0.5000 0.5000 0.5000  8 Y 3.25
Cd 0.5000 0.5000 0.8342  4 Dy 3.24, 4 Y 3.25

total moment	0.000	μB per atom

***

| no. | final energy (hartree per atom) | calculated formation energy (meV per atom) | theoretical density (g cm⁻³) |
| --- | --- | --- | --- |
| 1 | -0.157 | 61 | 7.86 |
| 2 | -0.137 | -343 | 7.12 |